[1]
The following is a PBE calculation of a geometry-optimized Li4MgBe structure, from Alexandria via LeMat-Bulk.

Lattice parameters (Å, degrees): 5.1763 5.1763 5.1763 60.00 60.00 60.00
Closest atoms and distances in Å follow each position.
Sites, in units of the cell vectors:
Li: 0.8787 0.3738 0.3738  6 Li 2.56-2.61
Li: 0.3738 0.3738 0.8787  6 Li 2.56-2.61
Li: 0.3738 0.8787 0.3738  6 Li 2.56-2.61
Li: 0.3738 0.3738 0.3738  6 Li 2.56-2.61
Mg: 0.7500 0.7500 0.7500  12 Li 3.04, 4 Be 3.17
Be: 0.0000 0.0000 0.0000  12 Li 3.03, 4 Mg 3.17

Output
Magnetic moment ... 0.09 μB per cell
E ... -11.41 eV per cell
ΔH_f (0 K) ... 262 meV per atom
DOS(E_F) ... 2.98 states/eV per cell


[2]
The following is a PBE calculation of a geometry-optimized Mg2H6IrRh structure, from Alexandria via LeMat-Bulk.

Lattice parameters (Å, degrees): 4.9671 4.9674 4.9237 119.68 119.57 90.59
Closest atoms and distances in Å follow each position.
Sites, in units of the cell vectors:
Mg: 0.7510 0.2504 0.5006  8 H 2.30-2.50
Mg: 0.2492 0.7513 0.4995  8 H 2.29-2.49
H: 0.7101 0.7181 0.9303  1 Ir 1.75, 1 Rh 1.78
H: 0.7860 0.7835 0.4936  1 Ir 1.75, 1 Rh 1.79
H: 0.2898 0.2827 0.0695  1 Ir 1.75, 1 Rh 1.78
H: 0.7503 0.2536 0.9968  1 Ir 1.76, 1 Rh 1.78
H: 0.2136 0.2170 0.5054  1 Ir 1.75, 1 Rh 1.79
H: 0.2496 0.7470 0.0035  1 Ir 1.76, 1 Rh 1.78
Ir: 0.4997 0.5001 0.9995  6 H 1.75-1.76
Rh: 0.9998 0.0001 0.9993  6 H 1.78-1.79

Output
Magnetic moment ... 0.00 μB per cell
E ... -42.07 eV per cell
DOS(E_F) ... 1.88 states/eV per cell


[3]
The following is a PBE calculation of a geometry-optimized KHfBi2 structure, from Alexandria via LeMat-Bulk.

Lattice parameters (Å, degrees): 7.0438 7.0438 9.9150 69.19 69.19 90.00
Closest atoms and distances in Å follow each position.
Sites, in units of the cell vectors:
K: 0.5000 0.5000 0.0000  8 Bi 4.36-4.61
K: 0.2500 0.7500 0.5000  8 Bi 4.36-4.61
Hf: 0.0000 0.0000 0.0000  4 Bi 2.78
Hf: 0.7500 0.2500 0.5000  4 Bi 2.78
Bi: 0.8524 0.1250 0.2500  2 Hf 2.78
Bi: 0.8976 0.6250 0.2500  2 Hf 2.78
Bi: 0.3750 0.1476 0.7500  2 Hf 2.78
Bi: 0.8750 0.1024 0.7500  2 Hf 2.78

Output
Magnetic moment ... 0.00 μB per cell
E ... -36.65 eV per cell
ΔH_f (0 K) ... 122 meV per atom
DOS(E_F) ... 3.27 states/eV per cell


[4]
The following is a PBE calculation of a geometry-optimized ScCoPt structure, from Alexandria via LeMat-Bulk.

Lattice parameters (Å, degrees): 4.9697 4.9697 4.9697 141.38 141.38 55.76
Closest atoms and distances in Å follow each position.
Sites, in units of the cell vectors:
Co: 0.9979 0.9979 0.0000  5 Pt 2.72-2.98, 5 Sc 2.75-2.92
Pt: 0.3370 0.3370 0.0000  5 Co 2.72-2.98, 5 Sc 2.77-2.88
Sc: 0.6651 0.6651 0.0000  5 Co 2.75-2.92, 5 Pt 2.77-2.88

Output
Magnetic moment ... 1.55 μB per cell
E ... -20.90 eV per cell
ΔH_f (0 K) ... -475 meV per atom
DOS(E_F) ... 4.21 states/eV per cell


[5]
The following is a PBE calculation of a geometry-optimized SrAsOs2 structure, from Alexandria via LeMat-Bulk.

Lattice parameters (Å, degrees): 4.7001 3.9875 3.9875 90.00 90.00 90.00
Closest atoms and distances in Å follow each position.
Sites, in units of the cell vectors:
Sr: 0.5000 0.5000 0.0000  4 As 2.82, 8 Os 3.08
As: 0.5000 0.0000 0.5000  4 Sr 2.82, 8 Os 3.08
Os: 0.0000 0.0000 0.0000  4 Os 2.82, 4 As 3.08, 4 Sr 3.08
Os: 0.0000 0.5000 0.5000  4 Os 2.82, 4 As 3.08, 4 Sr 3.08

Output
Magnetic moment ... 0.00 μB per cell
E ... -25.26 eV per cell
ΔH_f (0 K) ... 883 meV per atom
DOS(E_F) ... 4.89 states/eV per cell


[6]
The following is a PBE calculation of a geometry-optimized RbBa structure, from Alexandria via LeMat-Bulk.

Lattice parameters (Å, degrees): 15.6428 15.6428 4.4049 90.00 90.00 120.00
Closest atoms and distances in Å follow each position.
Sites, in units of the cell vectors:
Rb: 0.6899 0.7849 0.2500  6 Rb 4.40-4.84, 5 Ba 4.66-4.85
Rb: 0.9050 0.6899 0.7500  6 Rb 4.40-4.84, 5 Ba 4.66-4.85
Rb: 0.2151 0.9050 0.2500  6 Rb 4.40-4.84, 5 Ba 4.66-4.85
Rb: 0.3101 0.2151 0.7500  6 Rb 4.40-4.84, 5 Ba 4.66-4.85
Rb: 0.0950 0.3101 0.2500  6 Rb 4.40-4.84, 5 Ba 4.66-4.85
Rb: 0.7849 0.0950 0.7500  6 Rb 4.40-4.84, 5 Ba 4.66-4.85
Ba: 0.8514 0.3984 0.2500  6 Ba 4.40-4.67, 5 Rb 4.66-4.85
Ba: 0.4530 0.8514 0.7500  6 Ba 4.40-4.67, 5 Rb 4.66-4.85
Ba: 0.6016 0.4530 0.2500  6 Ba 4.40-4.67, 5 Rb 4.66-4.85
Ba: 0.1486 0.6016 0.7500  6 Ba 4.40-4.67, 5 Rb 4.66-4.85
Ba: 0.5470 0.1486 0.2500  6 Ba 4.40-4.67, 5 Rb 4.66-4.85
Ba: 0.3984 0.5470 0.7500  6 Ba 4.40-4.67, 5 Rb 4.66-4.85

Output
Magnetic moment ... 0.00 μB per cell
E ... -15.65 eV per cell
ΔH_f (0 K) ... 141 meV per atom
DOS(E_F) ... 16.41 states/eV per cell


[7]
The following is a PBE calculation of a geometry-optimized Ca2HgTe2 structure, from Alexandria via LeMat-Bulk.

Lattice parameters (Å, degrees): 6.1272 6.1272 7.7418 66.69 66.69 90.00
Closest atoms and distances in Å follow each position.
Sites, in units of the cell vectors:
Ca: 0.2587 0.2587 0.4825  4 Te 3.07, 1 Hg 3.32
Ca: 0.7413 0.7413 0.5175  4 Te 3.07, 1 Hg 3.32
Te: 0.7500 0.2500 0.5000  4 Ca 3.07
Te: 0.2500 0.7500 0.5000  4 Ca 3.07
Hg: 0.0000 0.0000 0.0000  2 Ca 3.32

Output
Magnetic moment ... 0.00 μB per cell
Raw formation energy ... -1.006 eV/atom
E ... -15.62 eV per cell
DOS(E_F) ... 0.00 states/eV per cell


[8]
The following is a PBE calculation of a geometry-optimized K3Ac2SmS6 structure, from Alexandria via LeMat-Bulk.

Lattice parameters (Å, degrees): 4.3370 8.9530 9.9452 105.30 102.59 90.00
Closest atoms and distances in Å follow each position.
Sites, in units of the cell vectors:
K: 0.5000 0.5000 0.0000  6 S 3.27-3.37
K: 0.8344 0.1667 0.6689  6 S 3.23-3.42
K: 0.1656 0.8333 0.3311  6 S 3.23-3.42
Ac: 0.8354 0.6715 0.6708  6 S 2.98-3.02
Ac: 0.1646 0.3285 0.3292  6 S 2.98-3.02
Sm: 0.5000 0.0000 0.0000  6 S 2.85-2.88
S: 0.3478 0.9061 0.6955  1 Sm 2.85, 2 Ac 2.98
S: 0.6740 0.5643 0.3480  3 Ac 3.00-3.02, 3 K 3.27-3.28
S: 0.6522 0.0939 0.3045  1 Sm 2.85, 2 Ac 2.98
S: 0.0054 0.2150 0.0108  2 Sm 2.88, 1 Ac 2.98
S: 0.9946 0.7850 0.9892  2 Sm 2.88, 1 Ac 2.98
S: 0.3260 0.4357 0.6520  3 Ac 3.00-3.02, 3 K 3.27-3.28

Output
Magnetic moment ... 0.00 μB per cell
Raw formation energy ... -1.875 eV/atom
E ... -63.50 eV per cell
DOS(E_F) ... 0.00 states/eV per cell


[9]
The following is a PBE calculation of a geometry-optimized ScInHg structure, from Alexandria via LeMat-Bulk.

Lattice parameters (Å, degrees): 4.7499 4.7499 11.3074 90.00 90.00 120.00
Closest atoms and distances in Å follow each position.
Sites, in units of the cell vectors:
Sc: 0.0000 0.0000 0.0000  2 In 2.83
Sc: 0.0000 0.0000 0.5000  2 In 2.83
Hg: 0.3333 0.6667 0.2500  3 In 2.74
Hg: 0.6667 0.3333 0.7500  3 In 2.74
In: 0.0000 0.0000 0.2500  3 Hg 2.74, 2 Sc 2.83
In: 0.0000 0.0000 0.7500  3 Hg 2.74, 2 Sc 2.83

Output
Magnetic moment ... 1.50 μB per cell
E ... -14.74 eV per cell
ΔH_f (0 K) ... 668 meV per atom
DOS(E_F) ... 5.11 states/eV per cell


[10]
The following is a PBE calculation of a geometry-optimized AlTc2P structure, from Alexandria via LeMat-Bulk.

Lattice parameters (Å, degrees): 8.1399 8.1399 8.1399 20.50 20.50 20.50
Closest atoms and distances in Å follow each position.
Sites, in units of the cell vectors:
P: 0.7453 0.7453 0.7453  3 Tc 2.41, 3 Al 2.66
Tc: 0.0060 0.0060 0.0060  3 P 2.41
Tc: 0.2502 0.2502 0.2502  3 Al 2.63, 9 Tc 2.71-2.90
Al: 0.4985 0.4985 0.4985  3 Tc 2.63, 3 P 2.66, 6 Al 2.90

Output
Magnetic moment ... 0.00 μB per cell
E ... -30.57 eV per cell
ΔH_f (0 K) ... -171 meV per atom
DOS(E_F) ... 4.39 states/eV per cell


[11]
The following is a PBE calculation of a geometry-optimized TlGeMoAu2 structure, from Alexandria via LeMat-Bulk.

Lattice parameters (Å, degrees): 5.1622 5.3525 5.1622 90.00 90.00 90.00
Closest atoms and distances in Å follow each position.
Sites, in units of the cell vectors:
Ge: 0.5000 0.5000 0.5000  4 Mo 3.65, 8 Au 3.72
Tl: 0.0000 0.0000 0.0000  4 Au 2.58, 2 Mo 2.68
Au: 0.0000 0.0000 0.5000  2 Tl 2.58
Au: 0.5000 0.0000 0.0000  2 Tl 2.58
Mo: 0.0000 0.5000 0.0000  2 Tl 2.68

Output
Magnetic moment ... 3.12 μB per cell
E ... -16.98 eV per cell
ΔH_f (0 K) ... 1477 meV per atom
DOS(E_F) ... 3.21 states/eV per cell


[12]
The following is a PBE calculation of a geometry-optimized GaSbWN2 structure, from Alexandria via LeMat-Bulk.

Lattice parameters (Å, degrees): 3.9885 5.5598 3.9885 90.00 90.00 90.00
Closest atoms and distances in Å follow each position.
Sites, in units of the cell vectors:
Sb: 0.0000 0.0000 0.0000  4 N 1.99
Ga: 0.5000 0.5000 0.5000  4 W 2.82
W: 0.0000 0.5000 0.0000  2 Sb 2.78, 4 Ga 2.82
N: 0.0000 0.0000 0.5000  2 Sb 1.99
N: 0.5000 0.0000 0.0000  2 Sb 1.99

Output
Magnetic moment ... 1.04 μB per cell
Raw formation energy ... 1.929 eV/atom
E ... -27.11 eV per cell
DOS(E_F) ... 5.36 states/eV per cell


Question: DOS(E_F) of number 3 (KHfBi2)?
Answer: 3.27 states/eV per cell


Question: Look up the DOS(E_F) of the ninth one.
Answer: 5.11 states/eV per cell